VASP calculation (PBE) on an optimized crystal structure of Sm7Dy12Ho.

abc: 8.7607 8.7607 8.7607
angles: 86.12 86.12 86.12
Fractional coordinates of all 20 atoms:
Sm: 0.0000 0.0000 0.0000
Sm: 0.1013 0.4234 0.3463
Sm: 0.3463 0.1013 0.4234
Sm: 0.4234 0.3463 0.1013
Sm: 0.5766 0.6537 0.8987
Sm: 0.6537 0.8987 0.5766
Sm: 0.8987 0.5766 0.6537
Dy: 0.0035 0.8825 0.3660
Dy: 0.1175 0.6340 0.9965
Dy: 0.2281 0.3526 0.7532
Dy: 0.2468 0.7719 0.6474
Dy: 0.3526 0.7532 0.2281
Dy: 0.3660 0.0035 0.8825
Dy: 0.6340 0.9965 0.1175
Dy: 0.6474 0.2468 0.7719
Dy: 0.7532 0.2281 0.3526
Dy: 0.7719 0.6474 0.2468
Dy: 0.8825 0.3660 0.0035
Dy: 0.9965 0.1175 0.6340
Ho: 0.5000 0.5000 0.5000

Output
magnetization	0.00	μB/cell
E above lowest polymorph	0.0000	eV per atom
final energy	-4.41	eV per atom

VASP calculation (PBE) on an optimized crystal structure of LiUC2.

abc: 6.1392 6.1392 6.1392
angles: 34.82 34.82 34.82
Fractional coordinates of all 4 atoms:
Li: 0.0000 0.0000 0.0000
U: 0.5000 0.5000 0.5000
C: 0.1195 0.1195 0.1195
C: 0.8805 0.8805 0.8805

Output
magnetization	0.00	μB/cell
final energy	-7.45	eV per atom